Density functional theory data (PBE) for a relaxed structure of Sc6GaRh5.

Cell and atoms, written as extended XYZ:
```
12
Lattice="-4.226 1.169 -1.286 1.140 -2.441 -5.967 -0.790 -5.518 5.699" Properties=species:S:1:pos:R:3 pbc="T T T"
Rh -0.993 -5.343 -1.596
Sc -0.500 -2.696 -0.810
Rh -1.553 -4.095 1.379
Ga 0.000 0.000 0.000
Rh -2.324 -2.695 -2.933
Rh 0.570 -1.221 -2.984
Sc -1.820 -0.044 -2.180
Sc -1.267 -1.228 -5.073
Sc -3.940 -2.888 2.203
Sc -3.377 -4.094 -0.744
Sc 0.064 -3.902 -3.758
Rh -2.884 -1.448 0.041
```

Computed properties:
Total magnetization, μB/f.u.: 0.00
Volume, Å³ per atom: 17.20
Space group: Immm
DFT total energy, eV per cell: -88.9
Formation energy, eV per atom: -0.93